# Mg2CuAu

A relaxed structure of Mg2CuAu (PBE-GGA, Alexandria via LeMat-Bulk).

The total magnetic moment is 0.0000 μB per atom. The electronic total energy is -2.773 eV/atom. The energy of formation from the pure elements comes out at -133 meV/atom. The value obtained for the calculated volume is 211 Å³/cell. For the density of states at the Fermi level, the calculation gives 5.317 states/eV/cell.

The space group is R-3m (No. 166, hexagonal axes) and the conventional cell measures 3.0198, 3.0198 and 26.6917 Å, with angles of 90.00, 90.00 and 120.00 degrees. The distinct sites, in fractional coordinates, are Mg at (0.0000, 0.0000, 0.2474), Cu at (0.0000, 0.0000, 0.5000) and Au at (0.0000, 0.0000, 0.0000).